[1]
First-principles (PBE) data for crystalline CuSi2GeAu at its relaxed geometry, as listed in Alexandria via LeMat-Bulk.

Lattice parameters (Å, degrees): 4.7335 5.2911 4.7335 90.00 90.00 90.00
Last column: nearest neighbours and their distance in Å.
Positions (direct):
Ge  0.0000  0.5000  0.0000  2 Au 2.65
Au  0.0000  0.0000  0.0000  4 Si 2.37, 2 Ge 2.65
Si  0.0000  0.0000  0.5000  2 Au 2.37
Si  0.5000  0.0000  0.0000  2 Au 2.37
Cu  0.5000  0.5000  0.5000  4 Ge 3.35, 8 Si 3.55

Summary:
space group = P4/mmm
total energy = -3.496 eV/atom

[2]
First-principles (PBE) data for crystalline Sm2Cu4Ge3Au at its relaxed geometry, as listed in Alexandria via LeMat-Bulk.

Lattice parameters (Å, degrees): 4.1599 4.1599 10.3420 90.00 90.00 90.00
Last column: nearest neighbours and their distance in Å.
Positions (direct):
Sm  0.5000  0.0000  0.2436  8 Cu 3.16-3.27, 6 Ge 3.17-3.37, 2 Au 3.37
Sm  0.0000  0.5000  0.7564  8 Cu 3.16-3.27, 6 Ge 3.17-3.37, 2 Au 3.37
Cu  0.5000  0.5000  0.0000  4 Ge 2.47
Cu  0.0000  0.0000  0.0000  4 Ge 2.47
Cu  0.5000  0.0000  0.6435  3 Ge 2.35-2.55, 2 Au 2.55
Cu  0.0000  0.5000  0.3565  3 Ge 2.35-2.55, 2 Au 2.55
Ge  0.0000  0.0000  0.5000  4 Cu 2.55
Ge  0.5000  0.0000  0.8704  5 Cu 2.35-2.47
Ge  0.0000  0.5000  0.1296  5 Cu 2.35-2.47
Au  0.5000  0.5000  0.5000  4 Cu 2.55

Summary:
space group = P-4m2
total energy = -4.763 eV/atom
energy of formation from the pure elements = -4.68 eV per formula unit

[3]
First-principles (PBE) data for crystalline Sm2Cu3Ge4Au at its relaxed geometry, as listed in Alexandria via LeMat-Bulk.

Lattice parameters (Å, degrees): 4.2530 4.2530 10.1546 90.00 90.00 90.00
Last column: nearest neighbours and their distance in Å.
Positions (direct):
Sm  0.5000  0.0000  0.2442  8 Ge 3.22-3.27, 6 Cu 3.24-3.36, 2 Au 3.36
Sm  0.0000  0.5000  0.7558  8 Ge 3.22-3.27, 6 Cu 3.24-3.36, 2 Au 3.36
Cu  0.0000  0.0000  0.5000  4 Ge 2.57
Cu  0.5000  0.0000  0.8744  5 Ge 2.36-2.48
Cu  0.0000  0.5000  0.1256  5 Ge 2.36-2.48
Ge  0.5000  0.5000  0.0000  4 Cu 2.48
Ge  0.0000  0.0000  0.0000  4 Cu 2.48
Ge  0.5000  0.0000  0.6416  3 Cu 2.36-2.57, 2 Au 2.57
Ge  0.0000  0.5000  0.3584  3 Cu 2.36-2.57, 2 Au 2.57
Au  0.5000  0.5000  0.5000  4 Ge 2.57

Summary:
space group = P-4m2
total energy = -4.855 eV/atom
energy of formation from the pure elements = -5.07 eV per formula unit

[4]
First-principles (PBE) data for crystalline SmCuGe2Au at its relaxed geometry, as listed in Alexandria via LeMat-Bulk.

Lattice parameters (Å, degrees): 4.2488 4.2488 6.0877 110.42 110.42 90.00
Last column: nearest neighbours and their distance in Å.
Positions (direct):
Sm  0.0000  0.0000  0.0000  8 Ge 3.25, 4 Cu 3.39, 4 Au 3.39
Cu  0.2500  0.7500  0.5000  4 Ge 2.55
Ge  0.6165  0.6165  0.2331  1 Ge 2.47, 2 Au 2.55, 2 Cu 2.55
Ge  0.3835  0.3835  0.7669  1 Ge 2.47, 2 Cu 2.55, 2 Au 2.55
Au  0.7500  0.2500  0.5000  4 Ge 2.55

Summary:
space group = I-4m2
total energy = -4.780 eV/atom
energy of formation from the pure elements = -2.57 eV per formula unit

[5]
First-principles (PBE) data for crystalline Cu7Sn2GeAu2 at its relaxed geometry, as listed in Alexandria via LeMat-Bulk.

Lattice parameters (Å, degrees): 3.6399 3.6399 14.6966 83.03 83.03 89.82
Last column: nearest neighbours and their distance in Å.
Positions (direct):
Cu  0.5000  0.5000  0.0000  4 Ge 2.57-2.58, 8 Cu 2.61-2.62
Cu  0.2751  0.2751  0.4585  1 Sn 2.61, 1 Au 2.77, 4 Cu 2.80-2.89
Cu  0.7249  0.7249  0.5415  1 Sn 2.61, 1 Au 2.77, 4 Cu 2.80-2.89
Cu  0.9341  0.4349  0.1299  6 Cu 2.57-2.62, 2 Ge 2.61-2.62, 2 Au 2.69
Cu  0.4349  0.9341  0.1299  6 Cu 2.57-2.62, 2 Ge 2.61-2.62, 2 Au 2.69
Cu  0.5651  0.0659  0.8701  6 Cu 2.57-2.62, 2 Ge 2.61-2.62, 2 Au 2.69
Cu  0.0659  0.5651  0.8701  6 Cu 2.57-2.62, 2 Ge 2.61-2.62, 2 Au 2.69
Sn  0.8214  0.8214  0.3611  1 Cu 2.61, 4 Au 2.91-2.92
Sn  0.1786  0.1786  0.6389  1 Cu 2.61, 4 Au 2.91-2.92
Ge  0.0000  0.0000  0.0000  12 Cu 2.57-2.62
Au  0.6338  0.6338  0.7331  5 Cu 2.69-2.77, 4 Sn 2.91-2.92
Au  0.3662  0.3662  0.2669  5 Cu 2.69-2.77, 4 Sn 2.91-2.92

Summary:
space group = C2/m
total energy = -3.941 eV/atom
energy of formation from the pure elements = 0.56 eV per formula unit

[6]
First-principles (PBE) data for crystalline Sr2Cu4Ge3Au at its relaxed geometry, as listed in Alexandria via LeMat-Bulk.

Lattice parameters (Å, degrees): 4.3585 4.3585 10.1851 90.00 90.00 90.00
Last column: nearest neighbours and their distance in Å.
Positions (direct):
Sr  0.5000  0.0000  0.2463  8 Cu 3.31-3.32, 6 Ge 3.33-3.38, 2 Au 3.38
Sr  0.0000  0.5000  0.7537  8 Cu 3.31-3.32, 6 Ge 3.33-3.38, 2 Au 3.38
Cu  0.5000  0.5000  0.0000  4 Ge 2.51
Cu  0.0000  0.0000  0.0000  4 Ge 2.51
Cu  0.5000  0.0000  0.6365  3 Ge 2.46-2.58, 2 Au 2.58
Cu  0.0000  0.5000  0.3635  3 Ge 2.46-2.58, 2 Au 2.58
Ge  0.0000  0.0000  0.5000  4 Cu 2.58
Ge  0.5000  0.0000  0.8776  5 Cu 2.46-2.51
Ge  0.0000  0.5000  0.1224  5 Cu 2.46-2.51
Au  0.5000  0.5000  0.5000  4 Cu 2.58

Summary:
space group = P-4m2
total energy = -4.028 eV/atom
energy of formation from the pure elements = -3.40 eV per formula unit